Version one
{
  "formula": "PaSn2Sb",
  "functional": "PBE",
  "state": "optimized geometry",
  "lattice": [[5.7581, -2.1939, 0.0000], [5.7581, 2.1939, 0.0000], [-1.6483, 0.0000, 4.0659]],
  "species": ["Pa", "Sn", "Sn", "Sb"],
  "fractional_positions": [[0.0000, 0.0000, 0.0000], [0.2500, 0.2500, 0.7498], [0.7500, 0.7500, 0.2502], [0.5000, 0.5000, 0.5000]],
  "volume_a3_per_atom": 25.68,
  "magmom_total_mub_per_atom": 0.0000,
  "spacegroup": "C2/m (12)"
}



Version two
{
  "formula": "PaSn2Sb",
  "functional": "PBE",
  "state": "optimized geometry",
  "lattice": [[4.5232, 0.0000, 0.0000], [0.0000, 4.5232, 0.0000], [0.0000, 0.0000, 4.9331]],
  "species": ["Pa", "Sn", "Sn", "Sb"],
  "fractional_positions": [[0.0000, 0.0000, 0.0000], [0.0000, 0.5000, 0.5000], [0.5000, 0.0000, 0.5000], [0.5000, 0.5000, 0.0000]],
  "volume_a3_per_atom": 25.23,
  "magmom_total_mub_per_atom": 0.0000,
  "spacegroup": "P4/mmm (123)"
}



Version three
{
  "formula": "PaSn2Sb",
  "functional": "PBE",
  "state": "optimized geometry",
  "lattice": [[1.6158, 0.9329, 12.2529], [-1.6158, 0.9329, 12.2529], [0.0000, -1.8657, 12.2529]],
  "species": ["Pa", "Sn", "Sn", "Sb"],
  "fractional_positions": [[0.0000, 0.0000, 0.0000], [0.0878, 0.0878, 0.0878], [0.9122, 0.9122, 0.9122], [0.5000, 0.5000, 0.5000]],
  "volume_a3_per_atom": 27.70,
  "magmom_total_mub_per_atom": 0.1003,
  "spacegroup": "R-3m (166)"
}



Which of them is least stable? Easy: version three.



Version one
{
  "formula": "PaSnSb2",
  "functional": "PBE",
  "state": "optimized geometry",
  "lattice": [[2.6224, 1.5141, 4.5949], [-2.6224, 1.5141, 4.5949], [0.0000, -3.0281, 4.5949]],
  "species": ["Pa", "Sn", "Sb", "Sb"],
  "fractional_positions": [[0.0000, 0.0000, 0.0000], [0.5000, 0.5000, 0.5000], [0.2446, 0.2446, 0.2446], [0.7554, 0.7554, 0.7554]],
  "volume_a3_per_atom": 27.37,
  "magmom_total_mub_per_atom": 0.2101,
  "spacegroup": "R-3m (166)"
}



Version two
{
  "formula": "PaSnSb2",
  "functional": "PBE",
  "state": "optimized geometry",
  "lattice": [[-2.7026, 3.0779, 6.7112], [2.7026, -3.0779, 6.7112], [2.7026, 3.0779, -6.7112]],
  "species": ["Pa", "Pa", "Sn", "Sn", "Sb", "Sb", "Sb", "Sb"],
  "fractional_positions": [[0.3099, 0.0599, 0.2500], [0.6901, 0.9401, 0.7500], [0.0647, 0.8147, 0.2500], [0.9353, 0.1853, 0.7500], [0.0000, 0.5000, 0.5000], [0.4452, 0.6952, 0.7500], [0.5000, 0.5000, 0.0000], [0.5548, 0.3048, 0.2500]],
  "volume_a3_per_atom": 27.91,
  "magmom_total_mub_per_atom": 0.1323,
  "spacegroup": "Imma (74)"
}



Which of them is least stable? Easy: version one.



Version one
{
  "formula": "PaSnSb2",
  "functional": "PBE",
  "state": "optimized geometry",
  "lattice": [[4.0340, 0.0000, 0.0000], [0.0000, 4.0340, 0.0000], [0.0000, 0.0000, 6.5157]],
  "species": ["Pa", "Sn", "Sb", "Sb"],
  "fractional_positions": [[0.0000, 0.0000, 0.0000], [0.0000, 0.0000, 0.5000], [0.5000, 0.5000, 0.2371], [0.5000, 0.5000, 0.7629]],
  "volume_a3_per_atom": 26.51,
  "magmom_total_mub_per_atom": 0.0000,
  "spacegroup": "P4/mmm (123)"
}



Version two
{
  "formula": "PaSnSb2",
  "functional": "PBE",
  "state": "optimized geometry",
  "lattice": [[4.8749, 0.0000, 0.0000], [0.0000, 4.8749, 0.0000], [0.0000, 0.0000, 4.2909]],
  "species": ["Pa", "Sn", "Sb", "Sb"],
  "fractional_positions": [[0.0000, 0.0000, 0.0000], [0.5000, 0.5000, 0.0000], [0.0000, 0.5000, 0.5000], [0.5000, 0.0000, 0.5000]],
  "volume_a3_per_atom": 25.49,
  "magmom_total_mub_per_atom": 0.0000,
  "spacegroup": "P4/mmm (123)"
}



Which of them is least stable? Easy: version one.



Version one
{
  "formula": "Pa2TaSb",
  "functional": "PBE",
  "state": "optimized geometry",
  "lattice": [[4.4216, 0.0000, 0.0000], [0.0000, 4.4216, 0.0000], [0.0000, 0.0000, 4.6371]],
  "species": ["Pa", "Pa", "Ta", "Sb"],
  "fractional_positions": [[0.0000, 0.5000, 0.0000], [0.5000, 0.0000, 0.0000], [0.0000, 0.0000, 0.5000], [0.5000, 0.5000, 0.5000]],
  "volume_a3_per_atom": 22.66,
  "magmom_total_mub_per_atom": 0.0000,
  "spacegroup": "P4/mmm (123)"
}



Version two
{
  "formula": "Pa2TaSb",
  "functional": "PBE",
  "state": "optimized geometry",
  "lattice": [[3.9192, 0.0000, 0.0000], [0.0000, 3.9192, 0.0000], [0.0000, 0.0000, 6.2432]],
  "species": ["Pa", "Pa", "Ta", "Sb"],
  "fractional_positions": [[0.0000, 0.0000, 0.2446], [0.0000, 0.0000, 0.7554], [0.5000, 0.5000, 0.5000], [0.5000, 0.5000, 0.0000]],
  "volume_a3_per_atom": 23.97,
  "magmom_total_mub_per_atom": 0.0000,
  "spacegroup": "P4/mmm (123)"
}



Version three
{
  "formula": "Pa2TaSb",
  "functional": "PBE",
  "state": "optimized geometry",
  "lattice": [[0.0000, 3.6457, 3.6457], [3.6457, 0.0000, 3.6457], [3.6457, 3.6457, 0.0000]],
  "species": ["Pa", "Pa", "Ta", "Sb"],
  "fractional_positions": [[0.2500, 0.2500, 0.2500], [0.7500, 0.7500, 0.7500], [0.0000, 0.0000, 0.0000], [0.5000, 0.5000, 0.5000]],
  "volume_a3_per_atom": 24.23,
  "magmom_total_mub_per_atom": 0.0011,
  "spacegroup": "Fm-3m (225)"
}



Which of them is least stable? Easy: version three.



Version one
{
  "formula": "TbPaSb",
  "functional": "PBE",
  "state": "optimized geometry",
  "lattice": [[5.2918, 0.0000, 0.0000], [-2.6459, 4.5828, 0.0000], [0.0000, 0.0000, 3.4347]],
  "species": ["Tb", "Pa", "Sb"],
  "fractional_positions": [[0.0000, 0.0000, 0.0000], [0.3333, 0.6667, 0.5243], [0.6667, 0.3333, 0.2198]],
  "volume_a3_per_atom": 27.77,
  "magmom_total_mub_per_atom": 0.5133,
  "spacegroup": "P3m1 (156)"
}



Version two
{
  "formula": "TbPaSb",
  "functional": "PBE",
  "state": "optimized geometry",
  "lattice": [[-1.9626, 1.9626, 5.3946], [1.9626, -1.9626, 5.3946], [1.9626, 1.9626, -5.3946]],
  "species": ["Tb", "Pa", "Sb"],
  "fractional_positions": [[0.0000, 0.0000, 0.0000], [0.3011, 0.3011, 0.0000], [0.6461, 0.6461, 0.0000]],
  "volume_a3_per_atom": 27.70,
  "magmom_total_mub_per_atom": 0.2914,
  "spacegroup": "I4mm (107)"
}



Which of them is least stable? Easy: version one.



Version one
{
  "formula": "PaTc2Sb",
  "functional": "PBE",
  "state": "optimized geometry",
  "lattice": [[0.0000, 3.3595, 3.3595], [3.3595, 0.0000, 3.3595], [3.3595, 3.3595, 0.0000]],
  "species": ["Pa", "Tc", "Tc", "Sb"],
  "fractional_positions": [[0.0000, 0.0000, 0.0000], [0.2500, 0.2500, 0.2500], [0.7500, 0.7500, 0.7500], [0.5000, 0.5000, 0.5000]],
  "volume_a3_per_atom": 18.96,
  "magmom_total_mub_per_atom": 0.0002,
  "spacegroup": "Fm-3m (225)"
}



Version two
{
  "formula": "PaTc2Sb",
  "functional": "PBE",
  "state": "optimized geometry",
  "lattice": [[4.5604, 0.0000, 0.0000], [0.0000, 4.5604, 0.0000], [0.0000, 0.0000, 3.5960]],
  "species": ["Pa", "Tc", "Tc", "Sb"],
  "fractional_positions": [[0.0000, 0.0000, 0.0000], [0.0000, 0.5000, 0.5000], [0.5000, 0.0000, 0.5000], [0.5000, 0.5000, 0.0000]],
  "volume_a3_per_atom": 18.70,
  "magmom_total_mub_per_atom": 0.0000,
  "spacegroup": "P4/mmm (123)"
}



Which of them is least stable? Easy: version one.



Version one
{
  "formula": "Pa3TcSb2",
  "functional": "PBE",
  "state": "optimized geometry",
  "lattice": [[3.6176, -6.2384, 0.0000], [3.6176, 6.2384, 0.0000], [-2.4301, 0.0000, 7.1908]],
  "species": ["Pa", "Pa", "Pa", "Pa", "Pa", "Pa", "Tc", "Tc", "Sb", "Sb", "Sb", "Sb"],
  "fractional_positions": [[0.0629, 0.4267, 0.7791], [0.2056, 0.2056, 0.2101], [0.4267, 0.0629, 0.7791], [0.5733, 0.9371, 0.2209], [0.7944, 0.7944, 0.7899], [0.9371, 0.5733, 0.2209], [0.1688, 0.8312, 0.0000], [0.8312, 0.1688, 0.0000], [0.0000, 0.0000, 0.5000], [0.3488, 0.6512, 0.5000], [0.5000, 0.5000, 0.0000], [0.6512, 0.3488, 0.5000]],
  "volume_a3_per_atom": 27.05,
  "magmom_total_mub_per_atom": 0.0000,
  "spacegroup": "C2/m (12)"
}



Version two
{
  "formula": "Pa3TcSb2",
  "functional": "PBE",
  "state": "optimized geometry",
  "lattice": [[12.7861, 0.0000, 0.0000], [0.0000, 4.1104, 0.0000], [0.0000, 0.0000, 11.4113]],
  "species": ["Pa", "Pa", "Pa", "Pa", "Pa", "Pa", "Pa", "Pa", "Pa", "Pa", "Pa", "Pa", "Tc", "Tc", "Tc", "Tc", "Sb", "Sb", "Sb", "Sb", "Sb", "Sb", "Sb", "Sb"],
  "fractional_positions": [[0.0542, 0.2500, 0.1145], [0.1307, 0.7500, 0.5416], [0.2451, 0.7500, 0.2571], [0.2549, 0.2500, 0.7571], [0.3693, 0.2500, 0.0416], [0.4458, 0.7500, 0.6145], [0.5542, 0.2500, 0.3855], [0.6307, 0.7500, 0.9584], [0.7451, 0.7500, 0.2429], [0.7549, 0.2500, 0.7429], [0.8693, 0.2500, 0.4584], [0.9458, 0.7500, 0.8855], [0.1230, 0.2500, 0.3630], [0.3770, 0.7500, 0.8630], [0.6230, 0.2500, 0.1370], [0.8770, 0.7500, 0.6370], [0.0139, 0.2500, 0.7003], [0.1844, 0.7500, 0.9729], [0.3156, 0.2500, 0.4729], [0.4861, 0.7500, 0.2003], [0.5139, 0.2500, 0.7997], [0.6844, 0.7500, 0.5271], [0.8156, 0.2500, 0.0271], [0.9861, 0.7500, 0.2997]],
  "volume_a3_per_atom": 24.99,
  "magmom_total_mub_per_atom": 0.0000,
  "spacegroup": "Pnma (62)"
}



Which of them is least stable? Easy: version one.



Version one
{
  "formula": "PaSbTe4",
  "functional": "PBE",
  "state": "optimized geometry",
  "lattice": [[6.0080, 0.0000, 0.0000], [0.0000, 9.8401, 0.0000], [-2.6723, 0.0000, 8.3353]],
  "species": ["Pa", "Pa", "Sb", "Sb", "Te", "Te", "Te", "Te", "Te", "Te", "Te", "Te"],
  "fractional_positions": [[0.0433, 0.2500, 0.1195], [0.9567, 0.7500, 0.8805], [0.1846, 0.7500, 0.4570], [0.8154, 0.2500, 0.5430], [0.0666, 0.5643, 0.1777], [0.0666, 0.9357, 0.1777], [0.2470, 0.2500, 0.4809], [0.4393, 0.7500, 0.8467], [0.5607, 0.2500, 0.1533], [0.7530, 0.7500, 0.5191], [0.9334, 0.0643, 0.8223], [0.9334, 0.4357, 0.8223]],
  "volume_a3_per_atom": 41.06,
  "magmom_total_mub_per_atom": 0.0153,
  "spacegroup": "P2_1/m (11)"
}



Version two
{
  "formula": "PaSbTe4",
  "functional": "PBE",
  "state": "optimized geometry",
  "lattice": [[7.5857, 0.0000, 0.0000], [0.0000, 4.3826, 0.0000], [-2.8040, 0.0000, 7.2258]],
  "species": ["Pa", "Sb", "Te", "Te", "Te", "Te"],
  "fractional_positions": [[0.0000, 0.0000, 0.0000], [0.5000, 0.5000, 0.0000], [0.2341, 0.0000, 0.7622], [0.2489, 0.5000, 0.2381], [0.7511, 0.5000, 0.7619], [0.7659, 0.0000, 0.2378]],
  "volume_a3_per_atom": 40.04,
  "magmom_total_mub_per_atom": 0.0000,
  "spacegroup": "P2/m (10)"
}



Which of them is least stable? Easy: version one.



Version one
{
  "formula": "PaSbTe2",
  "functional": "PBE",
  "state": "optimized geometry",
  "lattice": [[2.7871, 1.6092, 4.1443], [-2.7871, 1.6092, 4.1443], [0.0000, -3.2183, 4.1443]],
  "species": ["Pa", "Sb", "Te", "Te"],
  "fractional_positions": [[0.0000, 0.0000, 0.0000], [0.5000, 0.5000, 0.5000], [0.2629, 0.2629, 0.2629], [0.7371, 0.7371, 0.7371]],
  "volume_a3_per_atom": 27.88,
  "magmom_total_mub_per_atom": 0.1606,
  "spacegroup": "R-3m (166)"
}



Version two
{
  "formula": "PaSbTe2",
  "functional": "PBE",
  "state": "optimized geometry",
  "lattice": [[1.9790, -16.3525, 0.0000], [1.9790, 16.3525, 0.0000], [0.0000, 0.0000, 4.3887]],
  "species": ["Pa", "Pa", "Sb", "Sb", "Te", "Te", "Te", "Te"],
  "fractional_positions": [[0.1837, 0.8163, 0.7500], [0.8163, 0.1837, 0.2500], [0.4714, 0.5286, 0.7500], [0.5286, 0.4714, 0.2500], [0.2851, 0.7149, 0.7500], [0.3846, 0.6154, 0.2500], [0.6154, 0.3846, 0.7500], [0.7149, 0.2851, 0.2500]],
  "volume_a3_per_atom": 35.51,
  "magmom_total_mub_per_atom": 0.2023,
  "spacegroup": "Cmcm (63)"
}



Which of them is least stable? Easy: version one.



Version one
{
  "formula": "PaSb2Te",
  "functional": "PBE",
  "state": "optimized geometry",
  "lattice": [[4.0862, 0.0000, 0.0000], [0.0000, 10.7901, 0.0000], [-2.0349, 0.0000, 5.3845]],
  "species": ["Pa", "Pa", "Sb", "Sb", "Sb", "Sb", "Te", "Te"],
  "fractional_positions": [[0.2457, 0.2500, 0.4918], [0.7543, 0.7500, 0.5082], [0.3472, 0.5308, 0.6951], [0.3472, 0.9692, 0.6951], [0.6528, 0.0308, 0.3049], [0.6528, 0.4692, 0.3049], [0.0426, 0.7500, 0.0835], [0.9574, 0.2500, 0.9165]],
  "volume_a3_per_atom": 29.68,
  "magmom_total_mub_per_atom": 0.1895,
  "spacegroup": "P2_1/m (11)"
}



Version two
{
  "formula": "PaSb2Te",
  "functional": "PBE",
  "state": "optimized geometry",
  "lattice": [[-2.2100, 2.2100, 5.3802], [2.2100, -2.2100, 5.3802], [2.2100, 2.2100, -5.3802]],
  "species": ["Pa", "Sb", "Sb", "Te"],
  "fractional_positions": [[0.0000, 0.0000, 0.0000], [0.2500, 0.7500, 0.5000], [0.7500, 0.2500, 0.5000], [0.5000, 0.5000, 0.0000]],
  "volume_a3_per_atom": 26.28,
  "magmom_total_mub_per_atom": 0.0002,
  "spacegroup": "I4/mmm (139)"
}



Which of them is least stable? Easy: version two.



Version one
{
  "formula": "Pa2SbTe",
  "functional": "PBE",
  "state": "optimized geometry",
  "lattice": [[2.0047, 1.1574, 8.3049], [-2.0047, 1.1574, 8.3049], [0.0000, -2.3149, 8.3049]],
  "species": ["Pa", "Pa", "Sb", "Te"],
  "fractional_positions": [[0.0000, 0.0000, 0.0000], [0.1708, 0.1708, 0.1708], [0.5853, 0.5853, 0.5853], [0.7523, 0.7523, 0.7523]],
  "volume_a3_per_atom": 28.91,
  "magmom_total_mub_per_atom": 0.0201,
  "spacegroup": "R3m (160)"
}



Version two
{
  "formula": "Pa2SbTe",
  "functional": "PBE",
  "state": "optimized geometry",
  "lattice": [[0.0000, 3.7267, 3.7267], [3.7267, 0.0000, 3.7267], [3.7267, 3.7267, 0.0000]],
  "species": ["Pa", "Pa", "Sb", "Te"],
  "fractional_positions": [[0.2500, 0.2500, 0.2500], [0.7500, 0.7500, 0.7500], [0.0000, 0.0000, 0.0000], [0.5000, 0.5000, 0.5000]],
  "volume_a3_per_atom": 25.88,
  "magmom_total_mub_per_atom": 0.3856,
  "spacegroup": "Fm-3m (225)"
}



Which of them is least stable? Easy: version one.



Version one
{
  "formula": "ThPaSb",
  "functional": "PBE",
  "state": "optimized geometry",
  "lattice": [[5.3914, 0.0000, 0.0000], [-2.6957, 4.6691, 0.0000], [0.0000, 0.0000, 3.3619]],
  "species": ["Th", "Pa", "Sb"],
  "fractional_positions": [[0.0000, 0.0000, 0.0000], [0.3333, 0.6667, 0.5246], [0.6667, 0.3333, 0.3145]],
  "volume_a3_per_atom": 28.21,
  "magmom_total_mub_per_atom": 0.0006,
  "spacegroup": "P3m1 (156)"
}



Version two
{
  "formula": "ThPaSb",
  "functional": "PBE",
  "state": "optimized geometry",
  "lattice": [[0.0000, 4.6866, 9.4738], [4.3858, 0.0000, 9.4738], [4.3858, 4.6866, 0.0000]],
  "species": ["Th", "Th", "Th", "Th", "Pa", "Pa", "Pa", "Pa", "Sb", "Sb", "Sb", "Sb"],
  "fractional_positions": [[0.0000, 0.0000, 0.0000], [0.0000, 0.0000, 0.5000], [0.0000, 0.5000, 0.0000], [0.5000, 0.0000, 0.0000], [0.2373, 0.2373, 0.5127], [0.4873, 0.4873, 0.7627], [0.5127, 0.5127, 0.2373], [0.7627, 0.7627, 0.4873], [0.1923, 0.5577, 0.1923], [0.4423, 0.8077, 0.4423], [0.5577, 0.1923, 0.5577], [0.8077, 0.4423, 0.8077]],
  "volume_a3_per_atom": 32.46,
  "magmom_total_mub_per_atom": 0.0002,
  "spacegroup": "Fddd (70)"
}



Which of them is least stable? Easy: version two.